Compound: SiSn3Te
Source: the Alexandria database
Functional: GGA-PBE
Structure: relaxed

Output
ΔE to the lowest computed polymorph ... 0 meV/atom
Formation energy without anion corrections ... 1.94 eV/f.u.

Unit cell a=5.3052 b=5.3052 c=5.3052 alpha=90.00 beta=90.00 gamma=90.00
Space group Pm-3m (No. 221)
Asymmetric unit:
Si 0.0000 0.0000 0.0000
Sn 0.0000 0.0000 0.5000
Te 0.5000 0.5000 0.5000


Compound: Tm3U5Co12
Source: the Alexandria database
Functional: GGA-PBE
Structure: relaxed

Output
Energy of formation ... 9.14 kcal/mol of atoms

Unit cell a=14.3650 b=14.3650 c=14.3650 alpha=90.00 beta=90.00 gamma=90.00
Space group Ia-3d (No. 230)
Asymmetric unit:
Tm 0.0000 0.2500 0.1250
U 0.0000 0.0000 0.0000
U 0.0000 0.2500 0.3750
Co 0.0405 0.0827 0.6494


Compound: LiPtCO5
Source: the Alexandria database
Functional: GGA-PBE
Structure: relaxed

Output
Formation energy without anion corrections ... -7.38 eV/f.u.

Unit cell a=6.3397 b=7.8441 c=6.9678 alpha=90.00 beta=116.37 gamma=90.00
Space group C2/c (No. 15)
Asymmetric unit:
Li 0.0000 0.1478 0.2500
Pt 0.0000 0.5000 0.0000
C 0.0000 0.1842 0.7500
O 0.0000 0.3909 0.2500
O 0.1212 0.2771 0.6627
O 0.1580 0.0685 0.9088


For each record above, in turn, the calculated total energy values are -18.631, -1177.590, -197.398 eV for the cell shown.